Entry 1:
SrBeAl2Ru GGA-PBEsol relaxed; space-group type = P4/mmm (123); E_form = 2.79 eV/f.u.
1.0
-0.2158 -2.2741 -4.1176
-1.6388 -3.8273 2.1997
-5.1478 1.7909 -0.7193
Ru Be Al Sr
1 1 2 1
Direct
0.0000 0.0000 0.0000 Ru
0.5000 0.5000 0.5000 Be
0.0000 0.5000 0.0000 Al
0.5000 0.0000 0.0000 Al
0.0000 0.0000 0.5000 Sr


Entry 2:
BeAlS3 GGA-PBEsol relaxed; space-group type = Pm-3m (221); energy relative to the elements, uncorrected = 382 meV per atom
1.0
-3.0724 -1.6247 -2.9024
-1.2314 -3.1148 3.0471
-3.0898 2.8568 1.6716
Be S Al
1 3 1
Direct
0.5000 0.5000 0.5000 Be
0.0000 0.5000 0.0000 S
0.0000 0.0000 0.5000 S
0.5000 0.0000 0.0000 S
0.0000 0.0000 0.0000 Al


Entry 3:
Be3AlS GGA-PBEsol relaxed; space-group type = Pm-3m (221); energy relative to the elements, uncorrected = 1194 meV per atom
1.0
-1.2307 -0.2438 4.1777
-1.7835 -3.9088 -0.7535
3.7858 -1.9207 1.0031
Be S Al
3 1 1
Direct
0.0000 0.5000 0.0000 Be
0.0000 0.0000 0.5000 Be
0.5000 0.0000 0.0000 Be
0.5000 0.5000 0.5000 S
0.0000 0.0000 0.0000 Al


Entry 4:
Be2AlSb GGA-PBEsol relaxed; space-group type = R-3m (166); energy relative to the elements, uncorrected = 523 meV per atom; energy above the lowest structure with this stoichiometry = 2.46 kcal/mol of atoms
1.0
-0.1084 3.1879 0.2211
-2.5000 1.6008 -1.1879
-4.2398 1.0415 6.0232
Sb Al Be
1 1 2
Direct
0.5000 0.5000 0.5000 Sb
0.0000 0.0000 0.0000 Al
0.2521 0.2521 0.2438 Be
0.7479 0.7479 0.7562 Be


Entry 5:
Be2AlSb GGA-PBEsol relaxed; space-group type = I-42d (122); energy relative to the elements, uncorrected = 708 meV per atom; energy above the lowest structure with this stoichiometry = 6.73 kcal/mol of atoms
1.0
5.9907 0.0481 0.0690
-2.8742 5.2564 -0.0690
-2.8742 -1.8791 4.9096
Sb Al Be
2 2 4
Direct
0.0000 0.0000 0.0000 Sb
0.5000 0.7500 0.2500 Sb
0.0000 0.5000 0.5000 Al
0.5000 0.2500 0.7500 Al
0.0067 0.6317 0.1250 Be
0.9933 0.1183 0.6250 Be
0.4933 0.3750 0.3683 Be
0.5067 0.8750 0.8817 Be


Entry 6:
Be2AlSb GGA-PBEsol relaxed; space-group type = P2/m (10); energy relative to the elements, uncorrected = 417 meV per atom; energy above the lowest structure with this stoichiometry = 0.00 kcal/mol of atoms
1.0
2.9366 0.0000 -0.0165
0.0000 3.7245 0.0000
-0.5847 0.0000 5.7469
Sb Al Be
1 1 2
Direct
0.5000 0.5000 0.0000 Sb
0.0000 0.5000 0.5000 Al
0.5064 0.0000 0.6844 Be
0.4936 0.0000 0.3156 Be


Entry 7:
Be2AlSb GGA-PBEsol relaxed; space-group type = I4/mmm (139); energy relative to the elements, uncorrected = 557 meV per atom; energy above the lowest structure with this stoichiometry = 3.23 kcal/mol of atoms
1.0
4.0640 0.0000 0.0000
-2.0320 4.2083 -0.0019
0.0000 -1.9606 3.5597
Sb Al Be
1 1 2
Direct
0.5000 0.0000 0.5000 Sb
0.0000 0.0000 0.0000 Al
0.7500 0.5000 0.2500 Be
0.2500 0.5000 0.7500 Be


Entry 8:
BeAlSb3 GGA-PBEsol relaxed; space-group type = Pm-3m (221); energy relative to the elements, uncorrected = 1045 meV per atom
1.0
-5.0896 -0.6592 -0.6270
0.3193 -4.6308 2.2772
-0.8519 2.2029 4.5993
Sb Al Be
3 1 1
Direct
0.0000 0.5000 0.0000 Sb
0.0000 0.0000 0.5000 Sb
0.5000 0.0000 0.0000 Sb
0.0000 0.0000 0.0000 Al
0.5000 0.5000 0.5000 Be


Entry 9:
BeAl3Sb GGA-PBEsol relaxed; space-group type = Pm-3m (221); energy relative to the elements, uncorrected = 295 meV per atom
1.0
-0.4577 4.4598 -0.1699
-2.5585 -0.4021 -3.6634
-3.6569 -0.2769 2.5843
Sb Al Be
1 3 1
Direct
0.5000 0.5000 0.5000 Sb
0.0000 0.5000 0.0000 Al
0.0000 0.0000 0.5000 Al
0.5000 0.0000 0.0000 Al
0.0000 0.0000 0.0000 Be


Entry 10:
Be2Al2Sb GGA-PBEsol relaxed; space-group type = I4/mmm (139); energy relative to the elements, uncorrected = 436 meV per atom
1.0
-2.8014 -2.2212 -1.1477
-0.2486 -1.4677 3.4472
-2.2910 5.9059 0.3043
Sb Al Be
1 2 2
Direct
0.0000 0.0000 0.0000 Sb
0.3841 0.3841 0.7682 Al
0.6159 0.6159 0.2318 Al
0.2500 0.7500 0.5000 Be
0.7500 0.2500 0.5000 Be


Entry 11:
ScBeAl GGA-PBEsol relaxed; space-group type = P-6m2 (187); E_form = -0.86 eV/f.u.
1.0
-1.7786 -1.1205 2.4036
3.3152 -1.9295 1.5537
-0.8719 3.8754 1.1614
Sc Be Al
1 1 1
Direct
0.5000 0.3333 0.6667 Sc
0.0000 0.6667 0.3333 Be
0.0000 0.0000 0.0000 Al


Entry 12:
Sc2BeAl GGA-PBEsol relaxed; space-group type = Fm-3m (225); E_form = -0.96 eV/f.u.; energy above the lowest structure with this stoichiometry = 0.00 kcal/mol of atoms
1.0
-1.4871 -0.1257 4.3644
0.7062 -3.7649 2.5696
3.0323 0.1142 3.4738
Sc Be Al
2 1 1
Direct
0.7500 0.7500 0.7500 Sc
0.2500 0.2500 0.2500 Sc
0.0000 0.0000 0.0000 Be
0.5000 0.5000 0.5000 Al


Number 1: calculated volume 24.4 Å³/atom, spin magnetization 0.000 μB per cell. Number 2: calculated volume 18.6 Å³/atom, spin magnetization 0.000 μB per cell. Number 3: calculated volume 16.6 Å³/atom, spin magnetization 0.001 μB per cell. Number 4: calculated volume 16.0 Å³/atom, spin magnetization 0.000 μB per cell. Number 5: calculated volume 19.5 Å³/atom, spin magnetization 0.000 μB per cell. Number 6: calculated volume 15.7 Å³/atom, spin magnetization 0.000 μB per cell. Number 7: calculated volume 15.2 Å³/atom, spin magnetization 0.000 μB per cell. Number 8: calculated volume 27.6 Å³/atom, spin magnetization 0.000 μB per cell. Number 9: calculated volume 18.1 Å³/atom, spin magnetization 0.000 μB per cell. Number 10: calculated volume 16.2 Å³/atom, spin magnetization 0.000 μB per cell. Number 11: calculated volume 15.8 Å³/atom, spin magnetization 0.001 μB per cell. Number 12: calculated volume 17.3 Å³/atom, spin magnetization 0.000 μB per cell.